The following is a PBE-GGA calculation of PWSe2 after structural relaxation, from Alexandria.

Cell lengths 4.562, 4.562, 6.745 Å; angles 79.05, 79.05, 43.00 degrees
Element x y z (fractional)
Se 0.844 0.844 0.670
Se 0.035 0.035 0.085
P 0.169 0.169 0.351
W 0.452 0.452 0.394

SG = Cm, No. 8
DOS at the Fermi energy = 2.773 states/eV/f.u.



The following is a PBE-GGA calculation of CeEr2VN4 after structural relaxation, from Alexandria.

Cell lengths 3.354, 6.034, 11.655 Å; angles 90.00, 90.00, 106.14 degrees
Element x y z (fractional)
Er 0.630 0.259 0.458
Er 0.630 0.259 0.042
Er 0.370 0.741 0.958
Er 0.370 0.741 0.542
V 0.828 0.656 0.750
V 0.172 0.344 0.250
N 0.573 0.145 0.250
N 0.000 0.000 0.500
N 0.735 0.470 0.875
N 0.265 0.530 0.375
N 0.265 0.530 0.125
N 0.000 0.000 0.000
N 0.735 0.470 0.625
N 0.427 0.855 0.750
Ce 0.911 0.822 0.250
Ce 0.089 0.178 0.750

SG = Cmcm, No. 63
DOS at the Fermi energy = 6.742 states/eV/f.u.



The following is a PBE-GGA calculation of ErNpAg2O6 after structural relaxation, from Alexandria.

Cell lengths 5.754, 5.896, 8.301 Å; angles 90.00, 90.20, 90.00 degrees
Element x y z (fractional)
O 0.182 0.211 0.049
O 0.093 0.468 0.762
O 0.711 0.312 0.950
O 0.289 0.688 0.050
O 0.789 0.812 0.550
O 0.593 0.032 0.262
O 0.211 0.188 0.450
O 0.818 0.789 0.951
O 0.682 0.289 0.549
O 0.407 0.968 0.738
O 0.907 0.532 0.238
O 0.318 0.711 0.451
Ag 0.003 0.975 0.247
Ag 0.997 0.025 0.753
Ag 0.503 0.525 0.747
Ag 0.497 0.475 0.253
Er 0.000 0.500 0.500
Er 0.500 0.000 0.000
Np 0.500 0.000 0.500
Np 0.000 0.500 0.000

SG = P2_1/c, No. 14



The following is a PBE-GGA calculation of Ga2GeI8 after structural relaxation, from Alexandria.

Cell lengths 7.005, 8.814, 8.814 Å; angles 82.18, 85.36, 85.36 degrees
Element x y z (fractional)
I 0.773 0.076 0.719
I 0.227 0.924 0.281
I 0.282 0.805 0.805
I 0.718 0.195 0.195
I 0.785 0.614 0.614
I 0.773 0.719 0.076
I 0.227 0.281 0.924
I 0.215 0.386 0.386
Ge 0.000 0.000 0.000
Ga 0.656 0.800 0.800
Ga 0.344 0.200 0.200

SG = C2/m, No. 12
DOS at the Fermi energy = 0.000 states/eV/f.u.
offset from the most stable computed form = 0.0032 eV per atom



The following is a PBE-GGA calculation of AcSbPb2 after structural relaxation, from Alexandria.

Cell lengths 5.715, 5.715, 5.715 Å; angles 60.00, 60.00, 60.00 degrees
Element x y z (fractional)
Pb 0.250 0.250 0.250
Pb 0.750 0.750 0.750
Ac 0.000 0.000 0.000
Sb 0.500 0.500 0.500

SG = Fm-3m, No. 225
DOS at the Fermi energy = 1.860 states/eV/f.u.
offset from the most stable computed form = 0.3054 eV per atom



The following is a PBE-GGA calculation of PrDy2PuSb4 after structural relaxation, from Alexandria.

Cell lengths 4.448, 7.682, 7.692 Å; angles 70.49, 90.00, 90.00 degrees
Element x y z (fractional)
Sb 0.500 0.245 0.747
Sb 0.000 0.758 0.743
Sb 0.500 0.755 0.253
Sb 0.000 0.242 0.257
Pr 0.500 0.500 0.000
Dy 0.000 0.000 0.000
Dy 0.500 0.000 0.500
Pu 0.000 0.500 0.500

SG = P2/m, No. 10
DOS at the Fermi energy = 16.425 states/eV/f.u.



The following is a PBE-GGA calculation of MgPtPb after structural relaxation, from Alexandria.

Cell lengths 3.402, 3.402, 6.616 Å; angles 90.00, 90.00, 120.00 degrees
Element x y z (fractional)
Pt 0.667 0.333 0.682
Pb 0.333 0.667 0.363
Mg 0.000 0.000 0.955

SG = P3m1, No. 156
DOS at the Fermi energy = 1.224 states/eV/f.u.
E_form = -0.55 eV per formula unit



The following is a PBE-GGA calculation of CePmPu after structural relaxation, from Alexandria.

Cell lengths 3.216, 5.606, 5.606 Å; angles 120.00, 90.00, 90.00 degrees
Element x y z (fractional)
Pu 0.667 0.333 0.667
Pm 0.167 0.667 0.333
Ce 0.166 0.000 0.000

SG = P-6m2, No. 187
DOS at the Fermi energy = 12.493 states/eV/f.u.
E_form = 0.79 eV per formula unit
offset from the most stable computed form = 0.1318 eV per atom



Result set for calculated total energy: -6.437 -8.590 -7.351 -2.539 -4.092 -6.603 -3.966 -8.077 eV per atom, one per record in the order listed.